Record 1
First-principles (PBE) data for a geometry-optimized CeZnH6 structure, as listed in the Alexandria database.

## Properties
Calculated total energy = -3.56 eV per atom

Cell lengths 5.4179, 6.2105, 4.1516 Å; angles 90.00, 101.04, 90.00 degrees
Closest atoms and distances in Å follow each position.
Space group C2/m (No. 12)
Symmetry-distinct sites (fractional):
Ce 0.0000 0.0000 0.0000  12 H 2.28-2.30
Zn 0.0000 0.5000 0.5000  6 H 1.77
H 0.1321 0.3173 0.8143  1 Zn 1.77
H 0.1825 0.0000 0.5470  1 Zn 1.77, 1 H 1.94

Record 2
First-principles (PBE) data for a geometry-optimized Ce3ZnH structure, as listed in the Alexandria database.

## Properties
Calculated total energy = -4.60 eV per atom

Cell lengths 4.7546, 4.7546, 4.7546 Å; angles 90.00, 90.00, 90.00 degrees
Closest atoms and distances in Å follow each position.
Space group Pm-3m (No. 221)
Symmetry-distinct sites (fractional):
Ce 0.0000 0.0000 0.5000  2 H 2.38
Zn 0.5000 0.5000 0.5000  12 Ce 3.36
H 0.0000 0.0000 0.0000  6 Ce 2.38

Record 3
First-principles (PBE) data for a geometry-optimized Ce2ZnH structure, as listed in the Alexandria database.

## Properties
Excess energy over the best structure of this formula in the dataset = 23.6 meV/atom

Cell lengths 3.1636, 3.1636, 7.1737 Å; angles 90.00, 90.00, 90.00 degrees
Closest atoms and distances in Å follow each position.
Space group P4/mmm (No. 123)
Symmetry-distinct sites (fractional):
Ce 0.0000 0.0000 0.1954  4 H 2.64, 1 Ce 2.80
Zn 0.5000 0.5000 0.5000  8 Ce 3.13, 4 Zn 3.16
H 0.5000 0.5000 0.0000  8 Ce 2.64

Record 4
First-principles (PBE) data for a geometry-optimized CeZnH3 structure, as listed in the Alexandria database.

## Properties
Calculated total energy = -3.75 eV per atom

Cell lengths 3.8073, 6.4713, 9.8596 Å; angles 90.00, 90.00, 90.00 degrees
Closest atoms and distances in Å follow each position.
Space group Immm (No. 71)
Symmetry-distinct sites (fractional):
Ce 0.0000 0.0000 0.1868  8 H 2.28-2.31
Zn 0.0000 0.1948 0.5000  4 H 1.92-2.01
H 0.0000 0.2070 0.0000  2 Zn 2.01
H 0.0000 0.2970 0.3172  1 Zn 1.92

Record 5
First-principles (PBE) data for a geometry-optimized CeZn2H4 structure, as listed in the Alexandria database.

## Properties
Calculated total energy = -3.30 eV per atom

Cell lengths 6.1609, 6.1609, 7.9115 Å; angles 90.00, 90.00, 90.00 degrees
Closest atoms and distances in Å follow each position.
Space group I4_122 (No. 98)
Symmetry-distinct sites (fractional):
Ce 0.0000 0.0000 0.0000  8 H 2.25-2.27
Zn 0.0476 0.2500 0.6250  2 H 1.80
H 0.1049 0.6464 0.0031  1 Zn 1.80

Record 6
First-principles (PBE) data for a geometry-optimized Ce2ZnH structure, as listed in the Alexandria database.

## Properties
Excess energy over the best structure of this formula in the dataset = 0.0 meV/atom

Cell lengths 3.1998, 3.1998, 25.3186 Å; angles 90.00, 90.00, 120.00 degrees
Closest atoms and distances in Å follow each position.
Space group R3m (No. 160, hexagonal axes)
Symmetry-distinct sites (fractional):
Ce 0.0000 0.0000 0.0000  3 H 2.46
Ce 0.0000 0.0000 0.2046  3 H 2.47
Zn 0.0000 0.0000 0.7692  6 Ce 3.18-3.19, 6 Zn 3.20
H 0.0000 0.0000 0.6028  6 Ce 2.46-2.47

Record 7
First-principles (PBE) data for a geometry-optimized CeZnH4 structure, as listed in the Alexandria database.

## Properties
Calculated total energy = -3.61 eV per atom

Cell lengths 12.4934, 3.7506, 6.4570 Å; angles 90.00, 100.13, 90.00 degrees
Closest atoms and distances in Å follow each position.
Space group C2/m (No. 12)
Symmetry-distinct sites (fractional):
Ce 0.2142 0.0000 0.2240  8 H 2.21-2.35
Zn 0.0882 0.0000 0.6617  3 H 1.72-1.89
H 0.0506 0.0000 0.3565  1 Zn 1.72
H 0.1090 0.5000 0.6591  2 Zn 1.89
H 0.1793 0.5000 0.0242  3 Ce 2.26-2.27, 1 H 2.37
H 0.2484 0.5000 0.4200  2 H 2.14, 1 Zn 2.20, 3 Ce 2.26

Record 8
First-principles (PBE) data for a geometry-optimized Ce4Zn2H structure, as listed in the Alexandria database.

## Properties
Calculated total energy = -4.31 eV per atom

Cell lengths 4.6557, 4.6557, 15.3923 Å; angles 90.00, 90.00, 90.00 degrees
Closest atoms and distances in Å follow each position.
Space group I4/mmm (No. 139)
Symmetry-distinct sites (fractional):
Ce 0.0000 0.0000 0.1801  1 H 2.77, 1 Zn 2.92
Ce 0.0000 0.5000 0.0000  2 H 2.33
Zn 0.0000 0.0000 0.3700  5 Ce 2.92-3.07
H 0.0000 0.0000 0.0000  4 Ce 2.33

Record 9
First-principles (PBE) data for a geometry-optimized Ce2ZrH8 structure, as listed in the Alexandria database.

## Properties
Calculated total energy = -4.77 eV per atom

Cell lengths 3.7874, 4.7628, 11.9435 Å; angles 90.00, 90.00, 90.00 degrees
Closest atoms and distances in Å follow each position.
Space group Immm (No. 71)
Symmetry-distinct sites (fractional):
Ce 0.0000 0.0000 0.1692  12 H 2.29-2.52
Zr 0.0000 0.0000 0.5000  8 H 2.04-2.19
H 0.0000 0.2370 0.3582  1 Zr 2.04, 2 H 2.13-2.26
H 0.0000 0.2704 0.0000  2 Zr 2.19, 1 H 2.19, 2 Ce 2.40
H 0.0000 0.5000 0.2135  6 H 2.13-2.36, 2 Ce 2.36

Record 10
First-principles (PBE) data for a geometry-optimized CeZrH structure, as listed in the Alexandria database.

## Properties
Excess energy over the best structure of this formula in the dataset = 11.7 meV/atom

Cell lengths 3.2602, 3.2602, 5.7333 Å; angles 90.00, 90.00, 120.00 degrees
Closest atoms and distances in Å follow each position.
Space group P3m1 (No. 156)
Symmetry-distinct sites (fractional):
Ce 0.0000 0.0000 0.0000  3 H 2.57
Zr 0.6667 0.3333 0.4900  3 H 2.22
H 0.3333 0.6667 0.6945  3 Zr 2.22

Record 11
First-principles (PBE) data for a geometry-optimized CeZr2H structure, as listed in the Alexandria database.

## Properties
Excess energy over the best structure of this formula in the dataset = 0.0 meV/atom

Cell lengths 3.1349, 3.1349, 26.1092 Å; angles 90.00, 90.00, 120.00 degrees
Closest atoms and distances in Å follow each position.
Space group R-3m (No. 166, hexagonal axes)
Symmetry-distinct sites (fractional):
Ce 0.0000 0.0000 0.0000  2 Zr 3.00, 6 Ce 3.13
Zr 0.0000 0.0000 0.1149  3 H 2.26
H 0.0000 0.0000 0.5000  6 Zr 2.26

Record 12
First-principles (PBE) data for a geometry-optimized CeZrH structure, as listed in the Alexandria database.

## Properties
Excess energy over the best structure of this formula in the dataset = 111.9 meV/atom

Cell lengths 3.0536, 3.0536, 11.7778 Å; angles 90.00, 90.00, 90.00 degrees
Closest atoms and distances in Å follow each position.
Space group I4mm (No. 107)
Symmetry-distinct sites (fractional):
Ce 0.0000 0.0000 0.0000  1 H 2.32
Zr 0.0000 0.0000 0.7205  4 H 2.18
H 0.0000 0.0000 0.1967  4 Zr 2.18, 1 Ce 2.32

| no. | magnetic moment (μB/f.u.) |
| --- | --- |
| 1 | 0.00 |
| 2 | 3.03 |
| 3 | 0.01 |
| 4 | 0.97 |
| 5 | 0.43 |
| 6 | 0.00 |
| 7 | 0.56 |
| 8 | 4.68 |
| 9 | 1.61 |
| 10 | 0.00 |
| 11 | 0.00 |
| 12 | 0.43 |